Entry 1:
## Sm2ThSb3Rh4 (GGA-PBE)

Data for crystalline Sm2ThSb3Rh4 at its relaxed geometry.

Output
Size of the total moment ... 0.42 μB per formula unit
Formation energy without anion corrections ... -0.829 eV/atom
V ... 22.9 A^3/atom
Space group ... P-4m2 (115)

Geometry as POSCAR:
```
Sm2ThSb3Rh4
1.0
-1.975 3.059 2.618
0.334 -2.781 3.502
10.188 4.410 2.530
Sm Th Sb Rh
2 1 3 4
Cartesian
1.134 2.448 1.836 Sm
8.233 2.102 3.754 Sm
4.274 2.344 4.325 Th
5.094 2.205 1.265 Sb
7.872 5.365 3.509 Sb
1.496 -0.815 2.081 Sb
-0.820 0.139 3.060 Rh
0.000 0.000 0.000 Rh
5.568 4.368 2.937 Rh
3.799 0.182 2.653 Rh
```

***

Entry 2:
## SmThSb2Rh5 (GGA-PBE)

Data for crystalline SmThSb2Rh5 at its relaxed geometry.

Output
Size of the total moment ... 0.00 μB per formula unit
Formation energy without anion corrections ... -0.567 eV/atom
V ... 20.0 A^3/atom
Space group ... P4/mmm (123)

Geometry as POSCAR:
```
SmThSb2Rh5
1.0
-4.138 1.689 -0.483
0.212 -0.749 -4.428
-3.448 -8.104 1.206
Sm Th Sb Rh
1 1 2 5
Cartesian
-1.724 -4.052 0.603 Sm
0.000 0.000 0.000 Th
-2.509 -0.813 -2.265 Sb
-4.866 -6.352 -1.441 Sb
-0.877 -2.686 -1.870 Rh
-3.052 -1.467 0.102 Rh
-2.359 -6.167 -1.352 Rh
-4.534 -4.949 0.620 Rh
-3.687 -3.582 -1.853 Rh
```

***

Entry 3:
## Sm2TmSb3Rh4 (GGA-PBE)

Data for crystalline Sm2TmSb3Rh4 at its relaxed geometry.

Output
Size of the total moment ... 0.00 μB per formula unit
Formation energy without anion corrections ... -0.861 eV/atom
V ... 21.7 A^3/atom
Space group ... P-4m2 (115)

Geometry as POSCAR:
```
Sm2TmSb3Rh4
1.0
4.353 0.000 0.000
0.000 4.353 0.000
0.000 0.000 11.480
Sm Tm Sb Rh
2 1 3 4
Cartesian
2.176 0.000 2.604 Sm
0.000 2.176 8.876 Sm
2.176 2.176 5.740 Tm
0.000 0.000 5.740 Sb
2.176 0.000 9.961 Sb
0.000 2.176 1.519 Sb
2.176 2.176 0.000 Rh
0.000 0.000 0.000 Rh
2.176 0.000 7.401 Rh
0.000 2.176 4.079 Rh
```